Record 1
A relaxed structure of LiLaEuAg. Source: Alexandria via LeMat-Bulk, functional PBE.

The structure in POSCAR format:
```
LiLaEuAg
1.0
0.0000 3.8461 3.8461
3.8461 0.0000 3.8461
3.8461 3.8461 0.0000
Li La Eu Ag
1 1 1 1
Direct
0.0000 0.0000 0.0000
0.2500 0.2500 0.2500
0.7500 0.7500 0.7500
0.5000 0.5000 0.5000
```

Properties
Its formation energy from the elements is -91 meV per atom.

Record 2
A relaxed structure of TbSbAu. Source: Alexandria via LeMat-Bulk, functional PBE.

The structure in POSCAR format:
```
TbSbAu
1.0
-2.0401 2.0401 4.5195
2.0401 -2.0401 4.5195
2.0401 2.0401 -4.5195
Tb Sb Au
1 1 1
Direct
0.0000 0.0000 0.0000
0.3460 0.3460 0.0000
0.6663 0.6663 0.0000
```

Properties
For the uncorrected formation energy, the calculation gives -610.5 meV per atom.

Record 3
A relaxed structure of ScPa3Se2O6. Source: Alexandria via LeMat-Bulk, functional PBE.

The structure in POSCAR format:
```
ScPa3Se2O6
1.0
6.0921 -3.6075 0.0000
6.0921 3.6075 0.0000
-1.3664 0.0000 5.3591
Sc Pa Se O
1 3 2 6
Direct
0.0000 0.0000 0.0000
0.0000 0.5000 0.0000
0.5000 0.0000 0.0000
0.5000 0.5000 0.5000
0.2916 0.2916 0.6365
0.7084 0.7084 0.3635
0.1701 0.1701 0.1094
0.2075 0.6475 0.2179
0.3525 0.7925 0.7821
0.6475 0.2075 0.2179
0.7925 0.3525 0.7821
0.8299 0.8299 0.8906
```

Properties
For the uncorrected formation energy, the calculation gives -2755.5 meV per atom.

Record 4
A relaxed structure of HfTi2Hg. Source: Alexandria via LeMat-Bulk, functional PBE.

The structure in POSCAR format:
```
HfTi2Hg
1.0
3.0980 0.0000 0.0000
0.0000 3.0980 0.0000
0.0000 0.0000 8.0830
Hf Ti Hg
1 2 1
Direct
0.0000 0.0000 0.0000
0.5000 0.5000 0.2518
0.5000 0.5000 0.7482
0.0000 0.0000 0.5000
```

Properties
Its formation energy from the elements is -28 meV per atom.

Record 5
A relaxed structure of Cs8Au3Se. Source: Alexandria via LeMat-Bulk, functional PBE.

The structure in POSCAR format:
```
Cs8Au3Se
1.0
8.6866 0.0000 0.0000
0.0000 8.6866 0.0000
0.0000 0.0000 8.6866
Cs Au Se
8 3 1
Direct
0.2439 0.2439 0.2439
0.2439 0.2439 0.7561
0.2439 0.7561 0.2439
0.2439 0.7561 0.7561
0.7561 0.2439 0.2439
0.7561 0.2439 0.7561
0.7561 0.7561 0.2439
0.7561 0.7561 0.7561
0.0000 0.5000 0.5000
0.5000 0.0000 0.5000
0.5000 0.5000 0.0000
0.0000 0.0000 0.0000
```

Properties
For the uncorrected formation energy, the calculation gives -419.9 meV per atom.

Record 6
A relaxed structure of In2AgHgH. Source: Alexandria via LeMat-Bulk, functional PBE.

The structure in POSCAR format:
```
In2AgHgH
1.0
5.2055 0.0000 0.0000
0.0000 5.2055 0.0000
0.0000 0.0000 3.8036
In Ag Hg H
2 1 1 1
Direct
0.0000 0.5000 0.0000
0.5000 0.0000 0.0000
0.0000 0.0000 0.5000
0.5000 0.5000 0.5000
0.0000 0.0000 0.0000
```

Properties
Its total energy is -11.1 eV/f.u.

Record 7
A relaxed structure of Na7Cd2Pb. Source: Alexandria via LeMat-Bulk, functional PBE.

The structure in POSCAR format:
```
Na7Cd2Pb
1.0
5.4296 0.0000 0.0000
-2.7148 4.7022 0.0000
0.0000 0.0000 12.4872
Na Cd Pb
7 2 1
Direct
0.0000 0.0000 0.0000
0.0000 0.0000 0.2472
0.0000 0.0000 0.7375
0.3333 0.6667 0.3951
0.3333 0.6667 0.8384
0.6667 0.3333 0.1664
0.6667 0.3333 0.5866
0.0000 0.0000 0.4917
0.6667 0.3333 0.9014
0.3333 0.6667 0.1052
```

Properties
Its formation energy from the elements is -22 meV per atom.

Record 8
A relaxed structure of HfSc3O6. Source: Alexandria via LeMat-Bulk, functional PBE.

The structure in POSCAR format:
```
HfSc3O6
1.0
3.5852 -5.1718 0.0000
3.5852 5.1718 0.0000
0.0000 0.0000 3.3477
Hf Sc O
1 3 6
Direct
0.0000 0.0000 0.0000
0.0000 0.5000 0.5000
0.5000 0.0000 0.5000
0.5000 0.5000 0.0000
0.1307 0.8693 0.5000
0.1567 0.4069 0.0000
0.4069 0.1567 0.0000
0.5931 0.8433 0.0000
0.8433 0.5931 0.0000
0.8693 0.1307 0.5000
```

Properties
For the uncorrected formation energy, the calculation gives -3261.4 meV per atom.

Record 9
A relaxed structure of Cu2SiBiSe4. Source: Alexandria via LeMat-Bulk, functional PBE.

The structure in POSCAR format:
```
Cu2SiBiSe4
1.0
0.0000 4.3762 5.1357
4.3728 0.0000 5.1357
4.3728 4.3762 0.0000
Cu Si Bi Se
2 1 1 4
Direct
0.0000 0.0000 0.5000
0.5000 0.5000 0.0000
0.2501 0.2501 0.7499
0.7493 0.7493 0.2507
0.1770 0.5993 0.8230
0.3225 0.9010 0.0990
0.5993 0.1770 0.4007
0.9010 0.3225 0.6775
```

Properties
For the uncorrected formation energy, the calculation gives -192.4 meV per atom.

Record 10
A relaxed structure of Ce2TaTi. Source: Alexandria via LeMat-Bulk, functional PBE.

The structure in POSCAR format:
```
Ce2TaTi
1.0
1.4916 0.8612 11.2514
-1.4916 0.8612 11.2514
0.0000 -1.7223 11.2514
Ce Ta Ti
2 1 1
Direct
0.0861 0.0861 0.0861
0.9139 0.9139 0.9139
0.0000 0.0000 0.0000
0.5000 0.5000 0.5000
```

Properties
Its formation energy from the elements is 434 meV per atom.

Record 11
A relaxed structure of Al2NiPb. Source: Alexandria via LeMat-Bulk, functional PBE.

The structure in POSCAR format:
```
Al2NiPb
1.0
2.7201 -4.1250 0.0000
2.7201 4.1250 0.0000
0.0000 0.0000 3.2658
Al Ni Pb
2 1 1
Direct
0.0000 0.5000 0.0000
0.5000 0.0000 0.0000
0.0000 0.0000 0.5000
0.5000 0.5000 0.5000
```

Properties
Its formation energy from the elements is 286 meV per atom.

Record 12
A relaxed structure of Na2VAgCl6. Source: Alexandria via LeMat-Bulk, functional PBE.

The structure in POSCAR format:
```
Na2VAgCl6
1.0
3.4064 1.9667 5.9260
-3.4064 1.9667 5.9260
0.0000 -3.9334 5.9260
Na V Ag Cl
2 1 1 6
Direct
0.0000 0.0000 0.0000
0.4865 0.4865 0.4865
0.6908 0.6908 0.6908
0.2038 0.2038 0.2038
0.0368 0.4556 0.8057
0.3371 0.9027 0.5870
0.4556 0.8057 0.0368
0.5870 0.3371 0.9027
0.8057 0.0368 0.4556
0.9027 0.5870 0.3371
```

Properties
For the uncorrected formation energy, the calculation gives -1278.0 meV per atom.

Record 13
A relaxed structure of Pa2AlC2. Source: Alexandria via LeMat-Bulk, functional PBE.

The structure in POSCAR format:
```
Pa2AlC2
1.0
-2.0559 2.0559 5.4814
2.0559 -2.0559 5.4814
2.0559 2.0559 -5.4814
Pa Al C
2 1 2
Direct
0.1521 0.1521 0.0000
0.8479 0.8479 0.0000
0.5000 0.5000 0.0000
0.2500 0.7500 0.5000
0.7500 0.2500 0.5000
```

Properties
Its formation energy from the elements is -77 meV per atom.

Record 14
A relaxed structure of Ba3Sn2Ge4. Source: Alexandria via LeMat-Bulk, functional PBE.

The structure in POSCAR format:
```
Ba3Sn2Ge4
1.0
6.5618 -2.2457 0.0000
6.5618 2.2457 0.0000
-1.8916 0.0000 9.7165
Ba Sn Ge
3 2 4
Direct
0.0000 0.0000 0.0000
0.3378 0.3378 0.3290
0.6622 0.6622 0.6710
0.3841 0.3841 0.7217
0.6159 0.6159 0.2783
0.0532 0.0532 0.4008
0.2769 0.2769 0.9499
0.7231 0.7231 0.0501
0.9468 0.9468 0.5992
```

Properties
Its formation energy from the elements is -481 meV per atom.

Record 15
A relaxed structure of AcSnAs2. Source: Alexandria via LeMat-Bulk, functional PBE.

The structure in POSCAR format:
```
AcSnAs2
1.0
0.0000 3.7601 3.7601
3.7601 0.0000 3.7601
3.7601 3.7601 0.0000
Ac Sn As
1 1 2
Direct
0.0000 0.0000 0.0000
0.5000 0.5000 0.5000
0.2500 0.2500 0.2500
0.7500 0.7500 0.7500
```

Properties
Its formation energy from the elements is -509 meV per atom.

Record 16
A relaxed structure of CrRhBr2. Source: Alexandria via LeMat-Bulk, functional PBE.

The structure in POSCAR format:
```
CrRhBr2
1.0
0.0000 3.2311 3.2311
3.2311 0.0000 3.2311
3.2311 3.2311 0.0000
Cr Rh Br
1 1 2
Direct
0.0000 0.0000 0.0000
0.5000 0.5000 0.5000
0.2500 0.2500 0.2500
0.7500 0.7500 0.7500
```

Properties
For the uncorrected formation energy, the calculation gives 815.8 meV per atom.

Record 17
A relaxed structure of Li3AuO. Source: Alexandria via LeMat-Bulk, functional PBE.

The structure in POSCAR format:
```
Li3AuO
1.0
4.6539 0.0000 0.0000
0.0000 4.6539 0.0000
0.0000 0.0000 4.6539
Li Au O
3 1 1
Direct
0.0000 0.0000 0.5000
0.0000 0.5000 0.0000
0.5000 0.0000 0.0000
0.0000 0.0000 0.0000
0.5000 0.5000 0.5000
```

Properties
For the uncorrected formation energy, the calculation gives -41.6 meV per atom.

Record 18
A relaxed structure of Tb3HoTl4S8. Source: Alexandria via LeMat-Bulk, functional PBE.

The structure in POSCAR format:
```
Tb3HoTl4S8
1.0
4.0413 2.3333 7.5190
-4.0413 2.3333 7.5190
0.0000 -4.6665 7.5190
Tb Ho Tl S
3 1 4 8
Direct
0.0000 0.5000 0.5000
0.5000 0.0000 0.5000
0.5000 0.5000 0.0000
0.0000 0.0000 0.0000
0.0000 0.0000 0.5000
0.0000 0.5000 0.0000
0.5000 0.0000 0.0000
0.5000 0.5000 0.5000
0.2316 0.2316 0.7347
0.2316 0.7347 0.2316
0.2653 0.7684 0.7684
0.2671 0.2671 0.2671
0.7329 0.7329 0.7329
0.7347 0.2316 0.2316
0.7684 0.2653 0.7684
0.7684 0.7684 0.2653
```

Properties
For the uncorrected formation energy, the calculation gives -1489.2 meV per atom.

Record 19
A relaxed structure of MoIrS2. Source: Alexandria via LeMat-Bulk, functional PBE.

The structure in POSCAR format:
```
MoIrS2
1.0
1.6426 0.9483 7.5024
-1.6426 0.9483 7.5024
0.0000 -1.8967 7.5024
Mo Ir S
1 1 2
Direct
0.0000 0.0000 0.0000
0.5000 0.5000 0.5000
0.1037 0.1037 0.1037
0.8963 0.8963 0.8963
```

Properties
For the uncorrected formation energy, the calculation gives 280.8 meV per atom.

Record 20
A relaxed structure of La2BeRePb. Source: Alexandria via LeMat-Bulk, functional PBE.

The structure in POSCAR format:
```
La2BeRePb
1.0
6.0921 0.0000 0.0000
0.0000 6.0921 0.0000
0.0000 0.0000 4.3077
La Be Re Pb
2 1 1 1
Direct
0.0000 0.5000 0.0000
0.5000 0.0000 0.0000
0.0000 0.0000 0.5000
0.5000 0.5000 0.5000
0.0000 0.0000 0.0000
```

Properties
Its formation energy from the elements is 1270 meV per atom.

Record 21
A relaxed structure of SnSbAu4. Source: Alexandria via LeMat-Bulk, functional PBE.

The structure in POSCAR format:
```
SnSbAu4
1.0
4.4474 -2.5339 0.0000
4.4474 2.5339 0.0000
-2.8422 0.0000 5.7987
Sn Sb Au
1 1 4
Direct
0.0000 0.0000 0.0000
0.5000 0.5000 0.5000
0.1695 0.1695 0.5067
0.3352 0.3352 0.0063
0.6648 0.6648 0.9937
0.8305 0.8305 0.4933
```

Properties
For the uncorrected formation energy, the calculation gives -29.4 meV per atom.

Record 22
A relaxed structure of Pa3Ge4Ru2. Source: Alexandria via LeMat-Bulk, functional PBE.

The structure in POSCAR format:
```
Pa3Ge4Ru2
1.0
5.3983 -2.1665 0.0000
5.3983 2.1665 0.0000
-2.4529 0.0000 7.6997
Pa Ge Ru
3 4 2
Direct
0.0000 0.0000 0.0000
0.3194 0.3194 0.3506
0.6806 0.6806 0.6494
0.0299 0.0299 0.3665
0.2884 0.2884 0.9511
0.7116 0.7116 0.0489
0.9701 0.9701 0.6335
0.3853 0.3853 0.7054
0.6147 0.6147 0.2946
```

Properties
Its formation energy from the elements is -562 meV per atom.

Record 23
A relaxed structure of ZnTePb. Source: Alexandria via LeMat-Bulk, functional PBE.

The structure in POSCAR format:
```
ZnTePb
1.0
5.4794 0.0000 0.0000
-2.7397 4.7453 0.0000
0.0000 0.0000 3.2095
Zn Te Pb
1 1 1
Direct
0.0000 0.0000 0.0000
0.3333 0.6667 0.7265
0.6667 0.3333 0.4586
```

Properties
For the uncorrected formation energy, the calculation gives 136.6 meV per atom.

Record 24
A relaxed structure of Dy8Se3S3O. Source: Alexandria via LeMat-Bulk, functional PBE.

The structure in POSCAR format:
```
Dy8Se3S3O
1.0
3.9014 2.2525 6.4994
-3.9014 2.2525 6.4994
0.0000 -4.5050 6.4994
Dy Se S O
8 3 3 1
Direct
0.2413 0.2413 0.2413
0.2611 0.7267 0.7267
0.2733 0.2733 0.7389
0.2733 0.7389 0.2733
0.7267 0.2611 0.7267
0.7267 0.7267 0.2611
0.7389 0.2733 0.2733
0.7587 0.7587 0.7587
0.0000 0.5000 0.5000
0.5000 0.0000 0.5000
0.5000 0.5000 0.0000
0.0000 0.0000 0.5000
0.0000 0.5000 0.0000
0.5000 0.0000 0.0000
0.5000 0.5000 0.5000
```

Properties
For the uncorrected formation energy, the calculation gives -1797.0 meV per atom.

Record 25
A relaxed structure of Pm4Pr3Sm5. Source: Alexandria via LeMat-Bulk, functional PBE.

The structure in POSCAR format:
```
Pm4Pr3Sm5
1.0
6.3367 0.0000 0.0000
-0.0104 7.3091 0.0000
-0.0153 -0.0009 8.9661
Pm Pr Sm
4 3 5
Direct
0.1669 0.9997 0.1675
0.3325 0.2500 0.8332
0.6675 0.7500 0.1668
0.8331 0.0003 0.8325
0.3331 0.7506 0.8334
0.5000 0.5000 0.5000
0.6669 0.2494 0.1666
0.0007 0.2494 0.5003
0.1656 0.5002 0.1672
0.5000 0.0000 0.5000
0.8344 0.4998 0.8328
0.9993 0.7506 0.4997
```

Properties
Its formation energy from the elements is 13 meV per atom.